Below is a geometry-optimized Gd3Tl5Se12 structure, with properties calculated at the PBE-GGA level.

Output
The crystal system is cubic.

abc: 16.848 16.848 16.848
angles: 90.00 90.00 90.00
Space group Ia-3d (No. 230)
Unique sites:
Gd (0.000, 0.250, 0.125) [24 per cell]
Tl (0.000, 0.000, 0.000) [16 per cell]
Tl (0.000, 0.250, 0.375) [24 per cell]
Se (0.016, 0.071, 0.657) [96 per cell]

=====

Below is a geometry-optimized Gd2TmSe structure, with properties calculated at the PBE-GGA level.

Output
The crystal system is tetragonal.

abc: 3.633 3.633 8.501
angles: 90.00 90.00 90.00
Space group P4/mmm (No. 123)
Unique sites:
Gd (0.000, 0.000, 0.206) [2 per cell]
Tm (0.500, 0.500, 0.500) [1 per cell]
Se (0.500, 0.500, 0.000) [1 per cell]

=====

| no. | DOS(E_F) (states/eV per cell) | calculated total energy (eV per atom) | formation energy from raw total energies (meV/atom) |
| --- | --- | --- | --- |
| 1 | 56.3 | -5.52 | -724.2 |
| 2 | 5.3 | -9.74 | -713.2 |